No. 1
## Cs2SiH (PBE-GGA)

Data for a relaxed Cs2SiH crystal.

a = 8.8666 Å, b = 8.8666 Å, c = 7.9171 Å
α = 55.95°, β = 55.95°, γ = 90.00°
Last column: nearest neighbours and their distance in Å.
Atoms (fractional coordinates):
Cs 0.8750 0.8032 0.7500  2 H 2.98
Cs 0.5532 0.1250 0.2500  2 H 2.98
Cs 0.1968 0.6250 0.2500  2 H 2.98
Cs 0.3750 0.4468 0.7500  2 H 2.98
H 0.5000 0.5000 0.0000  4 Cs 2.98
H 0.2500 0.7500 0.5000  4 Cs 2.98
Si 0.0000 0.0000 0.0000  4 Cs 3.81
Si 0.7500 0.2500 0.5000  4 Cs 3.81

Output
As for the magnetization: 3.00 μB per formula unit. As for the total energy: -0.157 Ry per atom. As for the space group: No. 122.

=====

No. 2
## Cs2SiH3 (PBE-GGA)

Data for a relaxed Cs2SiH3 crystal.

a = 7.0446 Å, b = 7.0446 Å, c = 10.9688 Å
α = 114.37°, β = 114.37°, γ = 92.76°
Last column: nearest neighbours and their distance in Å.
Atoms (fractional coordinates):
Si 0.3304 0.3304 0.6579  3 H 1.55
Si 0.6696 0.6696 0.3421  3 H 1.55
Cs 0.2739 0.7261 0.5000  2 H 3.05
Cs 0.7709 0.7709 0.0439  5 H 3.25-3.39
Cs 0.7261 0.2739 0.5000  2 H 3.05
Cs 0.2290 0.2290 0.9561  5 H 3.25-3.39
H 0.4954 0.7196 0.2245  1 Si 1.55
H 0.7196 0.4954 0.2245  1 Si 1.55
H 0.5046 0.2803 0.7754  1 Si 1.55
H 0.1479 0.1479 0.6172  1 Si 1.55
H 0.2803 0.5046 0.7754  1 Si 1.55
H 0.8522 0.8522 0.3828  1 Si 1.55

Output
As for the magnetization: 0.00 μB per formula unit. As for the total energy: -0.217 Ry per atom. As for the space group: No. 12.

=====

No. 3
## Cs2SiH5 (PBE-GGA)

Data for a relaxed Cs2SiH5 crystal.

a = 6.0270 Å, b = 6.0270 Å, c = 6.0548 Å
α = 119.85°, β = 119.85°, γ = 90.00°
Last column: nearest neighbours and their distance in Å.
Atoms (fractional coordinates):
H 0.8077 0.1900 0.9977  1 Si 1.63
H 0.8114 0.8114 0.6227  1 Si 1.56
H 0.1900 0.1900 0.9977  1 Si 1.63
H 0.1900 0.8077 0.9977  1 Si 1.63
H 0.8077 0.8077 0.9977  1 Si 1.63
Cs 0.2387 0.7387 0.4775  10 H 3.01-3.13
Cs 0.7387 0.2387 0.4775  10 H 3.01-3.13
Si 0.9927 0.9927 0.9855  5 H 1.56-1.63

Output
As for the magnetization: 0.68 μB per formula unit. As for the total energy: -0.227 Ry per atom. As for the space group: No. 107.

=====

No. 4
## CsSiH4 (PBE-GGA)

Data for a relaxed CsSiH4 crystal.

a = 4.5406 Å, b = 6.1262 Å, c = 7.8139 Å
α = 113.08°, β = 109.77°, γ = 90.00°
Last column: nearest neighbours and their distance in Å.
Atoms (fractional coordinates):
Si 0.6598 0.4225 0.8449  3 H 1.55-1.57
Si 0.3402 0.5775 0.1551  3 H 1.55-1.57
Cs 0.0808 0.1566 0.3132  10 H 2.92-3.09
Cs 0.9192 0.8434 0.6868  10 H 2.92-3.09
H 0.1719 0.6539 0.3078  1 Si 1.55
H 0.5792 0.4515 0.2709  1 Si 1.57
H 0.8281 0.3461 0.6922  1 Si 1.55
H 0.0000 0.3346 0.0000  2 Si 1.84, 1 H 2.03
H 0.0000 0.6654 0.0000  2 Si 1.84, 1 H 2.03
H 0.5792 0.8195 0.2709  1 Si 1.57
H 0.4208 0.1805 0.7291  1 Si 1.57
H 0.4208 0.5485 0.7291  1 Si 1.57

Output
As for the magnetization: 0.00 μB per formula unit. As for the total energy: -0.245 Ry per atom. As for the space group: No. 12.

=====

Please write out number 4 again, unchanged.
## CsSiH4 (PBE-GGA)

Data for a relaxed CsSiH4 crystal.

a = 4.5406 Å, b = 6.1262 Å, c = 7.8139 Å
α = 113.08°, β = 109.77°, γ = 90.00°
Last column: nearest neighbours and their distance in Å.
Atoms (fractional coordinates):
Si 0.6598 0.4225 0.8449  3 H 1.55-1.57
Si 0.3402 0.5775 0.1551  3 H 1.55-1.57
Cs 0.0808 0.1566 0.3132  10 H 2.92-3.09
Cs 0.9192 0.8434 0.6868  10 H 2.92-3.09
H 0.1719 0.6539 0.3078  1 Si 1.55
H 0.5792 0.4515 0.2709  1 Si 1.57
H 0.8281 0.3461 0.6922  1 Si 1.55
H 0.0000 0.3346 0.0000  2 Si 1.84, 1 H 2.03
H 0.0000 0.6654 0.0000  2 Si 1.84, 1 H 2.03
H 0.5792 0.8195 0.2709  1 Si 1.57
H 0.4208 0.1805 0.7291  1 Si 1.57
H 0.4208 0.5485 0.7291  1 Si 1.57

Output
As for the magnetization: 0.00 μB per formula unit. As for the total energy: -0.245 Ry per atom. As for the space group: No. 12.